VASP calculation (PBE) on YAgRh after structural relaxation.

Its energy relative to the elements is 0.3 eV/f.u. The value obtained for the offset from the most stable computed form is 165 kJ/mol of formula units. The value obtained for the total magnetic moment is 0.0 μB/f.u. The crystal system is cubic. Its calculated density is 7.062 g cm⁻³. The density of states at the Fermi level is 3.2 states/eV/cell.

It has space group F-43m (No. 216), with a = 6.5566 Å, b = 6.5566 Å, c = 6.5566 Å, α = 90.00°, β = 90.00° and γ = 90.00°. Symmetry generates all atoms from Y at (0.0000, 0.0000, 0.0000), Ag at (0.2500, 0.2500, 0.7500) and Rh at (0.2500, 0.2500, 0.2500).